# 1
A geometry-optimized NaZn2Au2 structure, computed with PBEsol.

* Fermi-level density of states: 2.14 states/eV/cell
* spin magnetization: 0.0000 μB/atom
* offset from the most stable computed form: 0.000 eV per atom
* energy of formation: -0.26 eV per atom

```
data_NaZn2Au2
_cell_length_a 7.888
_cell_length_b 7.888
_cell_length_c 2.748
_cell_angle_alpha 90.00
_cell_angle_beta 90.00
_cell_angle_gamma 90.00
_space_group_name_H-M_alt 'P 4/m b m'
_space_group_IT_number 127
_space_group_name_Hall '-P 4 2ab'
loop_
_atom_site_label
_atom_site_type_symbol
_atom_site_fract_x
_atom_site_fract_y
_atom_site_fract_z
_atom_site_occupancy
Na1 Na 0.000 0.000 0.000 1
Zn1 Zn 0.126 0.374 0.500 1
Au1 Au 0.170 0.670 0.000 1
```

***

# 2
A geometry-optimized Ag7PSe6 structure, computed with PBEsol.

* energy relative to the elements, uncorrected: -0.070 eV per atom
* Fermi-level density of states: 0.27 states/eV/cell
* spin magnetization: 0.0000 μB/atom

```
data_Ag7PSe6
_cell_length_a 10.622
_cell_length_b 10.622
_cell_length_c 10.622
_cell_angle_alpha 90.00
_cell_angle_beta 90.00
_cell_angle_gamma 90.00
_space_group_name_H-M_alt 'P 21 3'
_space_group_IT_number 198
_space_group_name_Hall 'P 2ac 2ab 3'
loop_
_atom_site_label
_atom_site_type_symbol
_atom_site_fract_x
_atom_site_fract_y
_atom_site_fract_z
_atom_site_occupancy
Ag1 Ag 0.011 0.011 0.283 1
Ag2 Ag 0.073 0.896 0.727 1
Ag3 Ag 0.162 0.662 0.838 1
P1 P 0.248 0.752 0.252 1
Se1 Se 0.026 0.526 0.974 1
Se2 Se 0.119 0.860 0.126 1
Se3 Se 0.129 0.371 0.629 1
Se4 Se 0.204 0.204 0.204 1
```

***

Let's list DFT total energy in order: -2.74, -3.79 eV per atom.